# Rb2MgSiF6 | the Alexandria database | GGA-PBE | optimized geometry
data_Rb2MgSiF6
_cell_length_a 6.0313
_cell_length_b 6.0313
_cell_length_c 8.5194
_cell_angle_alpha 90.00
_cell_angle_beta 90.00
_cell_angle_gamma 90.00
_space_group_name_H-M_alt 'I 4/m m m'
_space_group_IT_number 139
_space_group_name_Hall '-I 4 2'
loop_
_atom_site_label
_atom_site_type_symbol
_atom_site_fract_x
_atom_site_fract_y
_atom_site_fract_z
Rb1 Rb 0.0000 0.5000 0.2500
Mg1 Mg 0.0000 0.0000 0.0000
Si1 Si 0.0000 0.0000 0.5000
F1 F 0.0000 0.0000 0.2403
F2 F 0.2399 0.2399 0.0000
# - Raw formation energy: -2.72 eV per atom

# Rb2SmMg3F12 | the Alexandria database | GGA-PBE | optimized geometry
data_Rb2SmMg3F12
_cell_length_a 7.5502
_cell_length_b 7.5502
_cell_length_c 17.1905
_cell_angle_alpha 90.00
_cell_angle_beta 90.00
_cell_angle_gamma 120.00
_space_group_name_H-M_alt 'R -3 m'
_space_group_IT_number 166
_space_group_name_Hall '-R 3 2"'
loop_
_atom_site_label
_atom_site_type_symbol
_atom_site_fract_x
_atom_site_fract_y
_atom_site_fract_z
Rb1 Rb 0.0000 0.0000 0.1098
Sm1 Sm 0.0000 0.0000 0.5000
Mg1 Mg 0.0000 0.5000 0.0000
F1 F 0.0020 0.5010 0.1175
F2 F 0.0843 0.5422 0.3208
# - Raw formation energy: -3.27 eV per atom

# Rb2MgSnF6 | the Alexandria database | GGA-PBE | optimized geometry
data_Rb2MgSnF6
_cell_length_a 8.8471
_cell_length_b 8.8471
_cell_length_c 8.8471
_cell_angle_alpha 90.00
_cell_angle_beta 90.00
_cell_angle_gamma 90.00
_space_group_name_H-M_alt 'F m -3 m'
_space_group_IT_number 225
_space_group_name_Hall '-F 4 2 3'
loop_
_atom_site_label
_atom_site_type_symbol
_atom_site_fract_x
_atom_site_fract_y
_atom_site_fract_z
Rb1 Rb 0.2500 0.2500 0.2500
Mg1 Mg 0.0000 0.0000 0.0000
Sn1 Sn 0.0000 0.0000 0.5000
F1 F 0.0000 0.0000 0.2297
# - Raw formation energy: -2.86 eV per atom

# Rb2MgSnF6 | the Alexandria database | GGA-PBE | optimized geometry
data_Rb2MgSnF6
_cell_length_a 4.5170
_cell_length_b 4.5170
_cell_length_c 8.8521
_cell_angle_alpha 90.00
_cell_angle_beta 90.00
_cell_angle_gamma 90.00
_space_group_name_H-M_alt 'P 4/m m m'
_space_group_IT_number 123
_space_group_name_Hall '-P 4 2'
loop_
_atom_site_label
_atom_site_type_symbol
_atom_site_fract_x
_atom_site_fract_y
_atom_site_fract_z
Rb1 Rb 0.0000 0.0000 0.2259
Mg1 Mg 0.5000 0.5000 0.0000
Sn1 Sn 0.5000 0.5000 0.5000
F1 F 0.0000 0.5000 0.0000
F2 F 0.0000 0.5000 0.5000
F3 F 0.5000 0.5000 0.2188
# - Raw formation energy: -2.80 eV per atom

# RbMgSnF5 | the Alexandria database | GGA-PBE | optimized geometry
data_RbMgSnF5
_cell_length_a 7.9679
_cell_length_b 10.1522
_cell_length_c 8.3429
_cell_angle_alpha 90.00
_cell_angle_beta 117.91
_cell_angle_gamma 90.00
_space_group_name_H-M_alt 'C 1 2/c 1'
_space_group_IT_number 15
loop_
_space_group_symop_operation_xyz
'x,y,z'
'-x,-y,-z'
'-x,y,-z+1/2'
'x,-y,z+1/2'
'x+1/2,y+1/2,z'
'-x+1/2,-y+1/2,-z'
'-x+1/2,y+1/2,-z+1/2'
'x+1/2,-y+1/2,z+1/2'
loop_
_atom_site_label
_atom_site_type_symbol
_atom_site_fract_x
_atom_site_fract_y
_atom_site_fract_z
Rb1 Rb 0.0000 0.1599 0.2500
Mg1 Mg 0.0000 0.5000 0.0000
Sn1 Sn 0.0000 0.2351 0.7500
F1 F 0.0000 0.4899 0.7500
F2 F 0.1026 0.3170 0.5499
F3 F 0.2302 0.0800 0.8894
# - Raw formation energy: -2.82 eV per atom

# Rb2SrMgF6 | the Alexandria database | GGA-PBE | optimized geometry
data_Rb2SrMgF6
_cell_length_a 8.8532
_cell_length_b 8.8532
_cell_length_c 8.8532
_cell_angle_alpha 90.00
_cell_angle_beta 90.00
_cell_angle_gamma 90.00
_space_group_name_H-M_alt 'F m -3 m'
_space_group_IT_number 225
_space_group_name_Hall '-F 4 2 3'
loop_
_atom_site_label
_atom_site_type_symbol
_atom_site_fract_x
_atom_site_fract_y
_atom_site_fract_z
Rb1 Rb 0.2500 0.2500 0.2500
Sr1 Sr 0.0000 0.0000 0.0000
Mg1 Mg 0.0000 0.0000 0.5000
F1 F 0.0000 0.0000 0.2708
# - Raw formation energy: -3.34 eV per atom

# RbSr2MgF8 | the Alexandria database | GGA-PBE | optimized geometry
data_RbSr2MgF8
_cell_length_a 4.3785
_cell_length_b 8.2762
_cell_length_c 5.4974
_cell_angle_alpha 90.00
_cell_angle_beta 97.76
_cell_angle_gamma 90.00
_space_group_name_H-M_alt 'P 1 2/m 1'
_space_group_IT_number 10
loop_
_space_group_symop_operation_xyz
'x,y,z'
'-x,-y,-z'
'-x,y,-z'
'x,-y,z'
loop_
_atom_site_label
_atom_site_type_symbol
_atom_site_fract_x
_atom_site_fract_y
_atom_site_fract_z
Rb1 Rb 0.0000 0.0000 0.0000
Sr1 Sr 0.5000 0.2706 0.5000
Mg1 Mg 0.0000 0.5000 0.0000
F1 F 0.0544 0.3070 0.7593
F2 F 0.4079 0.5000 0.2178
F3 F 0.4502 0.0000 0.7053
# - Raw formation energy: -3.23 eV per atom

# RbMg2TaF | the Alexandria database | GGA-PBE | optimized geometry
data_RbMg2TaF
_cell_length_a 5.8444
_cell_length_b 5.8444
_cell_length_c 4.1319
_cell_angle_alpha 90.00
_cell_angle_beta 90.00
_cell_angle_gamma 90.00
_space_group_name_H-M_alt 'P 4/m m m'
_space_group_IT_number 123
_space_group_name_Hall '-P 4 2'
loop_
_atom_site_label
_atom_site_type_symbol
_atom_site_fract_x
_atom_site_fract_y
_atom_site_fract_z
Rb1 Rb 0.0000 0.0000 0.0000
Mg1 Mg 0.0000 0.5000 0.5000
Ta1 Ta 0.5000 0.5000 0.0000
F1 F 0.5000 0.5000 0.5000
# - Raw formation energy: 0.24 eV per atom

# Rb2TbMg3F12 | the Alexandria database | GGA-PBE | optimized geometry
data_Rb2TbMg3F12
_cell_length_a 7.5372
_cell_length_b 7.5372
_cell_length_c 18.4755
_cell_angle_alpha 90.00
_cell_angle_beta 90.00
_cell_angle_gamma 120.00
_space_group_name_H-M_alt 'R -3 m'
_space_group_IT_number 166
_space_group_name_Hall '-R 3 2"'
loop_
_atom_site_label
_atom_site_type_symbol
_atom_site_fract_x
_atom_site_fract_y
_atom_site_fract_z
Rb1 Rb 0.0000 0.0000 0.1193
Tb1 Tb 0.0000 0.0000 0.5000
Mg1 Mg 0.0000 0.5000 0.0000
F1 F 0.0397 0.5198 0.1078
F2 F 0.0793 0.5397 0.3445
# - Raw formation energy: -3.28 eV per atom

# RbMgTiF6 | the Alexandria database | GGA-PBE | optimized geometry
data_RbMgTiF6
_cell_length_a 7.3406
_cell_length_b 7.5170
_cell_length_c 10.4901
_cell_angle_alpha 90.00
_cell_angle_beta 90.00
_cell_angle_gamma 90.00
_space_group_name_H-M_alt 'I m m a'
_space_group_IT_number 74
_space_group_name_Hall '-I 2b 2'
loop_
_atom_site_label
_atom_site_type_symbol
_atom_site_fract_x
_atom_site_fract_y
_atom_site_fract_z
Rb1 Rb 0.0000 0.2500 0.0997
Mg1 Mg 0.2500 0.2500 0.7500
Ti1 Ti 0.0000 0.0000 0.5000
F1 F 0.0000 0.2500 0.4307
F2 F 0.0000 0.2500 0.8161
F3 F 0.1956 0.0549 0.6221
# - Raw formation energy: -3.31 eV per atom

# Rb2MgTiF | the Alexandria database | GGA-PBE | optimized geometry
data_Rb2MgTiF
_cell_length_a 7.4942
_cell_length_b 7.4942
_cell_length_c 3.9481
_cell_angle_alpha 90.00
_cell_angle_beta 90.00
_cell_angle_gamma 90.00
_space_group_name_H-M_alt 'P 4/m m m'
_space_group_IT_number 123
_space_group_name_Hall '-P 4 2'
loop_
_atom_site_label
_atom_site_type_symbol
_atom_site_fract_x
_atom_site_fract_y
_atom_site_fract_z
Rb1 Rb 0.0000 0.5000 0.0000
Mg1 Mg 0.0000 0.0000 0.5000
Ti1 Ti 0.5000 0.5000 0.0000
F1 F 0.5000 0.5000 0.5000
# - Raw formation energy: -0.27 eV per atom

# Rb2MgTiF6 | the Alexandria database | GGA-PBE | optimized geometry
data_Rb2MgTiF6
_cell_length_a 8.4106
_cell_length_b 8.4106
_cell_length_c 8.4106
_cell_angle_alpha 90.00
_cell_angle_beta 90.00
_cell_angle_gamma 90.00
_space_group_name_H-M_alt 'F m -3 m'
_space_group_IT_number 225
_space_group_name_Hall '-F 4 2 3'
loop_
_atom_site_label
_atom_site_type_symbol
_atom_site_fract_x
_atom_site_fract_y
_atom_site_fract_z
Rb1 Rb 0.2500 0.2500 0.2500
Mg1 Mg 0.0000 0.0000 0.0000
Ti1 Ti 0.0000 0.0000 0.5000
F1 F 0.0000 0.0000 0.2429
# - Raw formation energy: -3.00 eV per atom

Repeat the fourth record exactly.
# Rb2MgSnF6 | the Alexandria database | GGA-PBE | optimized geometry
data_Rb2MgSnF6
_cell_length_a 4.5170
_cell_length_b 4.5170
_cell_length_c 8.8521
_cell_angle_alpha 90.00
_cell_angle_beta 90.00
_cell_angle_gamma 90.00
_space_group_name_H-M_alt 'P 4/m m m'
_space_group_IT_number 123
_space_group_name_Hall '-P 4 2'
loop_
_atom_site_label
_atom_site_type_symbol
_atom_site_fract_x
_atom_site_fract_y
_atom_site_fract_z
Rb1 Rb 0.0000 0.0000 0.2259
Mg1 Mg 0.5000 0.5000 0.0000
Sn1 Sn 0.5000 0.5000 0.5000
F1 F 0.0000 0.5000 0.0000
F2 F 0.0000 0.5000 0.5000
F3 F 0.5000 0.5000 0.2188
# - Raw formation energy: -2.80 eV per atom

Please write out number 6 again, unchanged.
# Rb2SrMgF6 | the Alexandria database | GGA-PBE | optimized geometry
data_Rb2SrMgF6
_cell_length_a 8.8532
_cell_length_b 8.8532
_cell_length_c 8.8532
_cell_angle_alpha 90.00
_cell_angle_beta 90.00
_cell_angle_gamma 90.00
_space_group_name_H-M_alt 'F m -3 m'
_space_group_IT_number 225
_space_group_name_Hall '-F 4 2 3'
loop_
_atom_site_label
_atom_site_type_symbol
_atom_site_fract_x
_atom_site_fract_y
_atom_site_fract_z
Rb1 Rb 0.2500 0.2500 0.2500
Sr1 Sr 0.0000 0.0000 0.0000
Mg1 Mg 0.0000 0.0000 0.5000
F1 F 0.0000 0.0000 0.2708
# - Raw formation energy: -3.34 eV per atom

> Number 9 is which compound?

Rb2TbMg3F12

> The lowest raw formation energy belongs to which entry?

Rb2SrMgF6